Below is a geometry-optimized Ti3CdPd structure, with properties calculated at the PBEsol level. Values from VASP.

Structure (Quantum ESPRESSO input):
```
&SYSTEM
  ibrav = 0, nat = 5, ntyp = 3
/
ATOMIC_SPECIES
Ti 47.87 Ti.upf
Cd 112.41 Cd.upf
Pd 106.42 Pd.upf
ATOMIC_POSITIONS angstrom
Ti 0.000 0.000 2.357
Ti 0.000 2.357 0.000
Ti 2.357 0.000 0.000
Cd 2.357 2.357 2.357
Pd 0.000 0.000 0.000
CELL_PARAMETERS angstrom
4.714 0.000 0.000
0.000 4.714 0.000
0.000 0.000 4.714
```

Calculated values
V = 21.0 A^3/atom
energy of formation from the pure elements = 2.667 eV/f.u.
space-group type = Pm-3m (221)
mass density = 5.74 Mg/m³
M_tot = 0.00 μB/cell
electronic total energy = -5.891 eV per atom


Below is a geometry-optimized Sc2TcH structure, with properties calculated at the PBEsol level. Values from VASP.

Structure (Quantum ESPRESSO input):
```
&SYSTEM
  ibrav = 0, nat = 4, ntyp = 3
/
ATOMIC_SPECIES
Sc 44.96 Sc.upf
Tc 98.00 Tc.upf
H 1.01 H.upf
ATOMIC_POSITIONS angstrom
Sc 0.000 0.000 2.481
Sc 0.000 0.000 20.440
Tc 0.000 0.000 0.000
H 0.000 0.000 11.461
CELL_PARAMETERS angstrom
1.469 0.848 7.640
-1.469 0.848 7.640
0.000 -1.696 7.640
```

Calculated values
V = 14.3 A^3/atom
distance to the lowest polymorph of the same formula = 221.7 meV/atom
space-group type = R-3m (166)
mass density = 5.49 Mg/m³
M_tot = 0.00 μB/cell
electronic total energy = -6.723 eV per atom


Below is a geometry-optimized Cr3GeN structure, with properties calculated at the PBEsol level. Values from VASP.

Structure (Quantum ESPRESSO input):
```
&SYSTEM
  ibrav = 0, nat = 5, ntyp = 3
/
ATOMIC_SPECIES
Cr 52.00 Cr.upf
Ge 72.64 Ge.upf
N 14.01 N.upf
ATOMIC_POSITIONS angstrom
Cr 0.000 0.000 1.887
Cr 0.000 1.887 0.000
Cr 1.887 0.000 0.000
Ge 1.887 1.887 1.887
N 0.000 0.000 0.000
CELL_PARAMETERS angstrom
3.774 0.000 0.000
0.000 3.774 0.000
0.000 0.000 3.774
```

Calculated values
V = 10.7 A^3/atom
distance to the lowest polymorph of the same formula = 35.4 meV/atom
uncorrected formation energy = -0.340 eV/atom
space-group type = Pm-3m (221)
mass density = 7.50 Mg/m³
M_tot = 0.00 μB/cell
electronic total energy = -9.178 eV per atom


Below is a geometry-optimized CoMoAu2N structure, with properties calculated at the PBEsol level. Values from VASP.

Structure (Quantum ESPRESSO input):
```
&SYSTEM
  ibrav = 0, nat = 5, ntyp = 4
/
ATOMIC_SPECIES
Co 58.93 Co.upf
Mo 95.94 Mo.upf
Au 196.97 Au.upf
N 14.01 N.upf
ATOMIC_POSITIONS angstrom
Co 0.000 0.000 0.000
Mo 2.437 2.437 1.632
Au 0.000 2.437 0.000
Au 2.437 0.000 0.000
N 0.000 0.000 1.632
CELL_PARAMETERS angstrom
4.875 0.000 0.000
0.000 4.875 0.000
0.000 0.000 3.264
```

Calculated values
V = 15.5 A^3/atom
uncorrected formation energy = 0.899 eV/atom
space-group type = P4/mmm (123)
mass density = 12.05 Mg/m³
M_tot = 2.71 μB/cell
electronic total energy = -6.277 eV per atom


Below is a geometry-optimized TiSiOs structure, with properties calculated at the PBEsol level. Values from VASP.

Structure (Quantum ESPRESSO input):
```
&SYSTEM
  ibrav = 0, nat = 18, ntyp = 3
/
ATOMIC_SPECIES
Ti 47.87 Ti.upf
Si 28.09 Si.upf
Os 190.23 Os.upf
ATOMIC_POSITIONS angstrom
Ti 1.759 0.045 0.000
Ti 1.759 3.078 -0.942
Ti 1.759 -2.177 2.439
Ti 1.759 7.741 -0.787
Ti 1.759 2.486 2.285
Ti 1.759 5.519 3.227
Si -0.050 1.862 0.512
Si 3.568 1.862 0.512
Si 1.759 5.196 0.592
Si 1.759 0.368 3.819
Si 0.050 9.266 0.512
Si -0.050 3.702 3.739
Os 0.000 0.000 2.126
Os 3.518 0.000 2.126
Os -0.258 4.152 1.343
Os 3.776 4.152 1.343
Os 0.258 6.975 1.343
Os -0.258 1.412 4.570
CELL_PARAMETERS angstrom
-3.518 5.564 3.227
3.518 -5.564 3.227
3.518 5.564 -3.227
```

Calculated values
V = 14.0 A^3/atom
uncorrected formation energy = -0.826 eV/atom
space-group type = Ima2 (46)
mass density = 10.50 Mg/m³
M_tot = 0.00 μB/cell
electronic total energy = -9.588 eV per atom


Below is a geometry-optimized Cr2Cu2Br structure, with properties calculated at the PBEsol level. Values from VASP.

Structure (Quantum ESPRESSO input):
```
&SYSTEM
  ibrav = 0, nat = 5, ntyp = 3
/
ATOMIC_SPECIES
Cr 52.00 Cr.upf
Cu 63.55 Cu.upf
Br 79.90 Br.upf
ATOMIC_POSITIONS angstrom
Cr 1.582 0.000 3.693
Cr 0.000 1.582 3.693
Cu 0.000 0.000 1.669
Cu 0.000 0.000 13.104
Br 0.000 0.000 7.386
CELL_PARAMETERS angstrom
-1.582 1.582 7.386
1.582 -1.582 7.386
1.582 1.582 -7.386
```

Calculated values
V = 14.8 A^3/atom
uncorrected formation energy = 0.627 eV/atom
space-group type = I4/mmm (139)
mass density = 6.99 Mg/m³
M_tot = 0.00 μB/cell
electronic total energy = -5.577 eV per atom


Below is a geometry-optimized SiPb4Br structure, with properties calculated at the PBEsol level. Values from VASP.

Structure (Quantum ESPRESSO input):
```
&SYSTEM
  ibrav = 0, nat = 6, ntyp = 3
/
ATOMIC_SPECIES
Si 28.09 Si.upf
Pb 207.20 Pb.upf
Br 79.90 Br.upf
ATOMIC_POSITIONS angstrom
Si 0.000 0.000 0.000
Pb 5.574 3.337 3.337
Pb 3.337 5.574 3.337
Pb 3.337 3.337 5.574
Pb 5.574 5.574 5.574
Br 2.228 2.228 2.228
CELL_PARAMETERS angstrom
0.000 4.456 4.456
4.456 0.000 4.456
4.456 4.456 0.000
```

Calculated values
V = 29.5 A^3/atom
uncorrected formation energy = 0.407 eV/atom
space-group type = F-43m (216)
mass density = 8.79 Mg/m³
M_tot = 0.00 μB/cell
electronic total energy = -3.529 eV per atom


Below is a geometry-optimized Li2Mn3NbO8 structure, with properties calculated at the PBEsol level. Values from VASP.

Structure (Quantum ESPRESSO input):
```
&SYSTEM
  ibrav = 0, nat = 56, ntyp = 4
/
ATOMIC_SPECIES
Li 6.94 Li.upf
Mn 54.94 Mn.upf
Nb 92.91 Nb.upf
O 16.00 O.upf
ATOMIC_POSITIONS angstrom
Li 0.054 4.033 4.141
Li 1.989 6.077 6.185
Li 2.098 2.098 2.098
Li 4.033 4.141 0.054
Li 4.141 0.054 4.033
Li 6.077 6.185 1.989
Li 6.185 1.989 6.077
Li 8.120 8.120 8.120
Mn 1.007 1.036 5.109
Mn 1.022 3.080 7.138
Mn 1.036 5.109 1.007
Mn 3.051 3.065 5.094
Mn 3.065 5.094 3.051
Mn 3.080 7.138 1.022
Mn 5.094 3.051 3.065
Mn 5.109 1.007 1.036
Mn 5.123 7.152 7.167
Mn 7.138 1.022 3.080
Mn 7.152 7.167 5.123
Mn 7.167 5.123 7.152
Nb 1.022 7.152 3.065
Nb 3.065 1.022 7.152
Nb 5.109 5.109 5.109
Nb 7.152 3.065 1.022
O 0.896 4.983 7.278
O 0.906 1.024 3.167
O 0.920 7.268 5.112
O 1.019 1.137 7.051
O 1.024 3.167 0.906
O 1.123 5.106 2.950
O 1.137 7.051 1.019
O 1.148 2.939 5.235
O 2.939 5.235 1.148
O 2.950 1.123 5.106
O 2.964 3.068 7.037
O 3.063 5.007 4.994
O 3.068 7.037 2.964
O 3.167 0.906 1.024
O 3.181 7.150 7.254
O 3.191 3.191 3.191
O 4.983 7.278 0.896
O 4.994 3.063 5.007
O 5.007 4.994 3.063
O 5.112 0.920 7.268
O 5.106 2.950 1.123
O 5.210 7.155 5.224
O 5.224 5.210 7.155
O 5.235 1.148 2.939
O 7.027 7.027 7.027
O 7.037 2.964 3.068
O 7.051 1.019 1.137
O 7.155 5.224 5.210
O 7.150 7.254 3.181
O 7.254 3.181 7.150
O 7.268 5.112 0.920
O 7.278 0.896 4.983
CELL_PARAMETERS angstrom
8.174 0.000 0.000
0.000 8.174 0.000
0.000 0.000 8.174
```

Calculated values
V = 9.8 A^3/atom
distance to the lowest polymorph of the same formula = 21.6 meV/atom
uncorrected formation energy = -1.945 eV/atom
space-group type = P4_332 (212)
mass density = 4.86 Mg/m³
M_tot = 23.96 μB/cell
electronic total energy = -8.090 eV per atom


Question: Among the records above, which one has the lowest electronic total energy?
Answer: TiSiOs